# 1
Below is a crystal of Tl2HgAu relaxed with PBEsol, with properties calculated at the SCAN level.

Properties
Offset from the most stable computed form: 38.5 meV per atom
E: -282.022 eV per formula unit
Formation energy from the elements: 0.10 kcal/mol of atoms
Volume: 24.2 Å³/atom

Unit cell a=3.2644 b=5.4317 c=10.9050 alpha=90.00 beta=90.00 gamma=90.00
Closest atoms and distances in Å follow each position.
Space group Imm2 (No. 44)
One atom of each set of equivalent atoms:
Tl 0.0000 0.0000 0.0000 x2  4 Au 3.17, 4 Tl 3.26-3.52, 2 Hg 3.36
Tl 0.0000 0.5000 0.2141 x2  2 Au 2.97, 4 Hg 3.23, 2 Tl 3.26
Hg 0.0000 0.5000 0.7692 x2  2 Au 2.88, 4 Tl 3.23
Au 0.0000 0.0000 0.4868 x2  2 Hg 2.88, 6 Tl 2.97-3.17

***

# 2
Below is a crystal of CaSi2Sb relaxed with PBEsol, with properties calculated at the SCAN level.

Properties
E: -67.249 eV per formula unit
Formation energy (no corrections): -0.073 eV/atom
Volume: 22.6 Å³/atom

Unit cell a=9.8952 b=3.6255 c=5.3867 alpha=90.00 beta=110.74 gamma=90.00
Closest atoms and distances in Å follow each position.
Space group C2/m (No. 12)
One atom of each set of equivalent atoms:
Ca 0.0000 0.0000 0.0000 x2  6 Si 3.13-3.50, 4 Sb 3.25
Si 0.2450 0.0000 0.6543 x4  2 Si 2.49
Sb 0.0000 0.5000 0.5000 x2  6 Si 2.90-2.92, 4 Ca 3.25

***

# 3
Below is a crystal of Sc2RePtS relaxed with PBEsol, with properties calculated at the SCAN level.

Properties
E: -181.316 eV per formula unit
Formation energy (no corrections): -0.385 eV/atom
Volume: 18.3 Å³/atom

Unit cell a=4.6552 b=4.6552 c=4.2254 alpha=90.00 beta=90.00 gamma=90.00
Closest atoms and distances in Å follow each position.
Space group P4/mmm (No. 123)
One atom of each set of equivalent atoms:
Sc 0.0000 0.5000 0.0000 x2  2 S 2.33
Re 0.0000 0.0000 0.5000 x1  2 S 2.11
Pt 0.5000 0.5000 0.5000 x1  8 Sc 3.14, 4 Re 3.29
S 0.0000 0.0000 0.0000 x1  2 Re 2.11, 4 Sc 2.33

***

# 4
Below is a crystal of Sc5Ag relaxed with PBEsol, with properties calculated at the SCAN level.

Properties
Offset from the most stable computed form: 0.0 meV per atom
E: -102.900 eV per formula unit
Formation energy from the elements: -1.34 kcal/mol of atoms
Volume: 22.1 Å³/atom

Unit cell a=3.2045 b=3.2045 c=12.9158 alpha=90.00 beta=90.00 gamma=90.00
Closest atoms and distances in Å follow each position.
Space group P4/mmm (No. 123)
One atom of each set of equivalent atoms:
Sc 0.0000 0.0000 0.0000 x1  12 Sc 3.20-3.21
Sc 0.0000 0.0000 0.3547 x2  4 Ag 2.94, 8 Sc 3.20-3.23
Sc 0.5000 0.5000 0.1761 x2  12 Sc 3.20-3.23
Ag 0.5000 0.5000 0.5000 x1  8 Sc 2.94, 4 Ag 3.20

***

# 5
Below is a crystal of ScMn2InPt relaxed with PBEsol, with properties calculated at the SCAN level.

Properties
E: -150.306 eV per formula unit
Formation energy from the elements: 18.55 kcal/mol of atoms
Volume: 23.6 Å³/atom

Unit cell a=4.7763 b=4.7763 c=5.1804 alpha=90.00 beta=90.00 gamma=90.00
Closest atoms and distances in Å follow each position.
Space group P4/mmm (No. 123)
One atom of each set of equivalent atoms:
Sc 0.0000 0.0000 0.0000 x1  2 In 2.59
Mn 0.0000 0.5000 0.5000 x2  2 In 2.39
In 0.0000 0.0000 0.5000 x1  4 Mn 2.39, 2 Sc 2.59
Pt 0.5000 0.5000 0.0000 x1  4 Sc 3.38, 8 Mn 3.52

***

# 6
Below is a crystal of CdAsPd5 relaxed with PBEsol, with properties calculated at the SCAN level.

Properties
E: -217.610 eV per formula unit
Formation energy from the elements: -10.32 kcal/mol of atoms
Volume: 15.7 Å³/atom

Unit cell a=3.9715 b=3.9715 c=6.9750 alpha=90.00 beta=90.00 gamma=90.00
Closest atoms and distances in Å follow each position.
Space group P4/mmm (No. 123)
One atom of each set of equivalent atoms:
Cd 0.0000 0.0000 0.0000 x1  12 Pd 2.81-2.83
As 0.5000 0.5000 0.5000 x1  8 Pd 2.47
Pd 0.0000 0.5000 0.2892 x4  2 As 2.47
Pd 0.5000 0.5000 0.0000 x1  4 Cd 2.81, 8 Pd 2.83

***

# 7
Below is a crystal of Sb relaxed with PBEsol, with properties calculated at the SCAN level.

Properties
Offset from the most stable computed form: 356.7 meV per atom
E: -36.904 eV per formula unit
Formation energy (no corrections): 0.357 eV/atom
Volume: 40.7 Å³/atom

Unit cell a=6.8786 b=6.8786 c=6.8786 alpha=90.00 beta=90.00 gamma=90.00
Closest atoms and distances in Å follow each position.
Space group Fd-3m (No. 227, origin choice 2)
One atom of each set of equivalent atoms:
Sb 0.1250 0.1250 0.1250 x8  4 Sb 2.98

***

# 8
Below is a crystal of AsPRu2 relaxed with PBEsol, with properties calculated at the SCAN level.

Properties
Offset from the most stable computed form: 77.3 meV per atom
E: -101.263 eV per formula unit
Formation energy from the elements: -5.89 kcal/mol of atoms
Volume: 13.6 Å³/atom

Unit cell a=2.9357 b=4.4882 c=4.1377 alpha=90.00 beta=90.00 gamma=90.00
Closest atoms and distances in Å follow each position.
Space group Pmm2 (No. 25)
One atom of each set of equivalent atoms:
As 0.0000 0.0000 0.0000 x1  6 Ru 2.49-2.55
P 0.5000 0.5000 0.7160 x1  6 Ru 2.40-2.68
Ru 0.0000 0.5000 0.2582 x1  4 P 2.40-2.68, 2 As 2.49
Ru 0.5000 0.0000 0.5029 x1  2 P 2.41, 4 As 2.53-2.55

***

# 9
Below is a crystal of Ba3LiTi5Nb3O21 relaxed with PBEsol, with properties calculated at the SCAN level.

Properties
E: -536.351 eV per formula unit
Formation energy (no corrections): -3.179 eV/atom
Volume: 12.6 Å³/atom

Unit cell a=15.8332 b=9.0810 c=11.5773 alpha=90.00 beta=90.00 gamma=90.00
Closest atoms and distances in Å follow each position.
Space group Cmc2_1 (No. 36)
One atom of each set of equivalent atoms:
Ba 0.0000 0.0992 0.0000 x4  8 O 2.71-3.02
Ba 0.2033 0.3024 0.5012 x8  7 O 2.70-2.98
Li 0.0000 0.4894 0.9644 x4  3 O 1.86-1.87
Ti 0.0000 0.2507 0.3388 x4  6 O 1.88-2.10
Ti 0.1241 0.3764 0.1639 x8  4 O 1.88-1.94
Ti 0.1297 0.3773 0.8477 x8  5 O 1.86-2.07
Nb 0.0000 0.2634 0.6638 x4  6 O 1.91-2.07
Nb 0.1661 0.0015 0.2539 x8  6 O 1.98-2.01
O 0.0000 0.2923 0.1785 x4  3 Ti 1.89-2.11
O 0.0000 0.3109 0.5029 x4  1 Li 1.87, 1 Nb 1.91, 1 Ti 1.98
O 0.0000 0.3154 0.8325 x4  1 Nb 2.01, 2 Ti 2.14, 1 Li 2.20
O 0.0819 0.0990 0.6524 x8  2 Nb 1.98-2.00
O 0.0840 0.1059 0.3581 x8  1 Ti 1.88, 1 Nb 2.01
O 0.0993 0.4026 0.3271 x8  3 Ti 1.94-2.10
O 0.1024 0.4031 0.0058 x8  1 Li 1.86, 2 Ti 1.88-1.90
O 0.1072 0.3916 0.6802 x8  2 Ti 1.98-2.13, 1 Nb 2.07
O 0.1535 0.1756 0.8573 x8  1 Ti 1.87, 1 Nb 2.01
O 0.1575 0.1772 0.1531 x8  1 Ti 1.89, 1 Nb 1.98
O 0.2409 0.4261 0.1564 x8  1 Ti 1.91, 1 Nb 1.98
O 0.2427 0.4298 0.8623 x8  1 Ti 1.86, 1 Nb 2.01

***

# 10
Below is a crystal of PrInCu2 relaxed with PBEsol, with properties calculated at the SCAN level.

Properties
E: -108.378 eV per formula unit
Formation energy from the elements: -7.31 kcal/mol of atoms
Volume: 18.8 Å³/atom

Unit cell a=6.6987 b=6.6987 c=6.6987 alpha=90.00 beta=90.00 gamma=90.00
Closest atoms and distances in Å follow each position.
Space group Fm-3m (No. 225)
One atom of each set of equivalent atoms:
Pr 0.0000 0.0000 0.0000 x4  8 Cu 2.90
In 0.0000 0.0000 0.5000 x4  8 Cu 2.90
Cu 0.2500 0.2500 0.2500 x8  4 In 2.90, 4 Pr 2.90

***

# 11
Below is a crystal of TbAl3 relaxed with PBEsol, with properties calculated at the SCAN level.

Properties
E: -71.865 eV per formula unit
Formation energy from the elements: -10.65 kcal/mol of atoms
Volume: 19.2 Å³/atom

Unit cell a=6.2039 b=6.2039 c=4.6049 alpha=90.00 beta=90.00 gamma=120.00
Closest atoms and distances in Å follow each position.
Space group P6_3/mmc (No. 194)
One atom of each set of equivalent atoms:
Tb 0.3333 0.6667 0.2500 x2  12 Al 3.04-3.11
Al 0.1482 0.2964 0.7500 x6  6 Al 2.76-2.80, 2 Tb 3.04

***

| no. | density (g cm⁻³) |
| --- | --- |
| 1 | 13.85 |
| 2 | 4.01 |
| 3 | 9.13 |
| 4 | 4.16 |
| 5 | 6.53 |
| 6 | 10.86 |
| 7 | 4.97 |
| 8 | 9.38 |
| 9 | 5.08 |
| 10 | 8.46 |
| 11 | 5.19 |